This record from Alexandria via LeMat-Bulk describes a relaxed Ba3ZrAs crystal. The functional is PBE.

## Properties
Its space group is No. 221. Its density of states at the Fermi level is 2.25 states/eV/atom. The calculation puts the energy above the most stable polymorph in this dataset at 0.0 meV per atom. The value obtained for the magnetic moment is 4.94 Bohr magnetons per cell.

a b c (Å): 6.338 6.338 6.338
angles (deg): 90.00 90.00 90.00
Atoms (fractional coordinates):
Ba: 0.000 0.000 0.500
Ba: 0.000 0.500 0.000
Ba: 0.500 0.000 0.000
Zr: 0.500 0.500 0.500
As: 0.000 0.000 0.000